Density functional theory data (PBE-GGA) for Ba2ZnInH after structural relaxation.

Cell: 5.714 5.714 4.523 Å, 90.00 90.00 90.00°
Element x y z (fractional)
H1 0.000 0.000 0.000
Zn1 0.500 0.500 0.500
Ba1 0.000 0.500 0.000
Ba2 0.500 0.000 0.000
In1 0.000 0.000 0.500

Computed properties:
DFT total energy   -12.35 eV for the cell shown
Spin magnetization   0.000 μB/cell



Density functional theory data (PBE-GGA) for Ba2ZnInH after structural relaxation.

Cell: 5.716 5.716 4.414 Å, 90.00 90.00 90.00°
Element x y z (fractional)
H1 0.000 0.000 0.000
Zn1 0.000 0.000 0.500
Ba1 0.000 0.500 0.000
Ba2 0.500 0.000 0.000
In1 0.500 0.500 0.500

Computed properties:
DFT total energy   -12.49 eV for the cell shown
Spin magnetization   0.000 μB/cell



Density functional theory data (PBE-GGA) for BaHIr after structural relaxation.

Cell: 4.491 5.878 6.325 Å, 111.99 90.00 112.46°
Element x y z (fractional)
H1 0.331 0.661 0.718
H2 0.669 0.339 0.282
Ir1 0.237 0.473 0.423
Ir2 0.763 0.527 0.577
Ba1 0.092 0.184 0.806
Ba2 0.908 0.816 0.194

Computed properties:
DFT total energy   -28.45 eV for the cell shown
Spin magnetization   0.000 μB/cell



Density functional theory data (PBE-GGA) for BaHIr after structural relaxation.

Cell: 7.137 8.951 3.636 Å, 90.00 90.00 90.00°
Element x y z (fractional)
Ba1 0.000 0.784 0.500
Ba2 0.000 0.216 0.500
Ba3 0.500 0.284 0.500
Ba4 0.500 0.716 0.500
H1 0.721 0.000 0.500
H2 0.279 0.000 0.500
H3 0.221 0.500 0.500
H4 0.779 0.500 0.500
Ir1 0.684 0.000 0.000
Ir2 0.316 0.000 0.000
Ir3 0.184 0.500 0.000
Ir4 0.816 0.500 0.000

Computed properties:
DFT total energy   -57.65 eV for the cell shown
Spin magnetization   0.000 μB/cell



Density functional theory data (PBE-GGA) for BaHIr after structural relaxation.

Cell: 4.699 4.325 7.277 Å, 90.00 108.80 90.00°
Element x y z (fractional)
Ba1 0.130 0.358 0.259
Ba2 0.870 0.858 0.741
H1 0.678 0.861 0.332
H2 0.322 0.361 0.668
Ir1 0.545 0.858 0.086
Ir2 0.455 0.358 0.914

Computed properties:
DFT total energy   -30.15 eV for the cell shown
Spin magnetization   0.000 μB/cell



Density functional theory data (PBE-GGA) for BaHIr after structural relaxation.

Cell: 5.294 5.326 9.602 Å, 90.00 95.24 90.00°
Element x y z (fractional)
Ba1 0.726 0.000 0.341
Ba2 0.274 0.000 0.659
Ba3 0.726 0.500 0.841
Ba4 0.274 0.500 0.159
H1 0.971 0.000 0.885
H2 0.029 0.000 0.115
H3 0.971 0.500 0.385
H4 0.029 0.500 0.615
Ir1 0.266 0.000 0.993
Ir2 0.734 0.000 0.007
Ir3 0.266 0.500 0.493
Ir4 0.734 0.500 0.507

Computed properties:
DFT total energy   -59.36 eV for the cell shown
Spin magnetization   0.000 μB/cell



Density functional theory data (PBE-GGA) for BaH2Ir after structural relaxation.

Cell: 4.464 4.464 4.464 Å, 60.00 60.00 60.00°
Element x y z (fractional)
H1 0.250 0.250 0.250
H2 0.750 0.750 0.750
Ir1 0.500 0.500 0.500
Ba1 0.000 0.000 0.000

Computed properties:
DFT total energy   -14.81 eV for the cell shown
Spin magnetization   0.000 μB/cell



Density functional theory data (PBE-GGA) for BaH7Ir2 after structural relaxation.

Cell: 3.751 5.350 5.522 Å, 118.98 90.00 90.00°
Element x y z (fractional)
Ba1 0.000 0.000 0.000
H1 0.000 0.323 0.646
H2 0.000 0.677 0.354
H3 0.500 0.339 0.313
H4 0.500 0.661 0.687
H5 0.500 0.026 0.687
H6 0.500 0.974 0.313
H7 0.500 0.500 0.000
Ir1 0.500 0.317 0.633
Ir2 0.500 0.683 0.367

Computed properties:
DFT total energy   -45.25 eV for the cell shown
Spin magnetization   0.000 μB/cell



Density functional theory data (PBE-GGA) for Ba5HIr after structural relaxation.

Cell: 8.073 8.073 12.151 Å, 69.05 69.05 85.07°
Element x y z (fractional)
Ba1 0.337 0.244 0.853
Ba2 0.306 0.764 0.513
Ba3 0.244 0.337 0.353
Ba4 0.941 0.059 0.750
Ba5 0.236 0.694 0.987
Ba6 0.764 0.306 0.013
Ba7 0.059 0.941 0.250
Ba8 0.756 0.663 0.647
Ba9 0.694 0.236 0.487
Ba10 0.663 0.756 0.147
H1 0.696 0.304 0.750
H2 0.304 0.696 0.250
Ir1 0.000 0.000 0.000
Ir2 0.000 0.000 0.500

Computed properties:
DFT total energy   -45.55 eV for the cell shown
Spin magnetization   0.000 μB/cell



Density functional theory data (PBE-GGA) for Ba6HIr2 after structural relaxation.

Cell: 4.510 8.532 10.882 Å, 82.17 90.00 105.32°
Element x y z (fractional)
Ba1 0.943 0.885 0.765
Ba2 0.793 0.587 0.162
Ba3 0.207 0.413 0.838
Ba4 0.641 0.281 0.510
Ba5 0.359 0.719 0.490
Ba6 0.057 0.115 0.235
H1 0.000 0.000 0.500
Ir1 0.785 0.570 0.680
Ir2 0.215 0.430 0.320

Computed properties:
DFT total energy   -33.57 eV for the cell shown
Spin magnetization   0.000 μB/cell



Density functional theory data (PBE-GGA) for BaH5Ir after structural relaxation.

Cell: 5.078 5.078 7.191 Å, 97.54 110.61 108.40°
Element x y z (fractional)
Ba1 0.750 0.500 0.250
Ba2 0.250 0.500 0.750
H1 0.719 0.957 0.079
H2 0.219 0.957 0.579
H3 0.622 0.360 0.579
H4 0.251 0.001 0.250
H5 0.878 0.640 0.921
H6 0.122 0.360 0.079
H7 0.749 0.999 0.750
H8 0.378 0.640 0.421
H9 0.781 0.043 0.421
H10 0.281 0.043 0.921
Ir1 0.000 0.000 0.000
Ir2 0.500 0.000 0.500

Computed properties:
DFT total energy   -59.85 eV for the cell shown
Spin magnetization   0.000 μB/cell



Density functional theory data (PBE-GGA) for Ba4H7Ir after structural relaxation.

Cell: 4.181 7.828 7.855 Å, 76.01 74.57 74.51°
Element x y z (fractional)
Ba1 0.585 0.199 0.630
Ba2 0.415 0.801 0.370
Ba3 0.709 0.705 0.877
Ba4 0.291 0.295 0.123
H1 0.792 0.863 0.552
H2 0.208 0.137 0.448
H3 0.056 0.779 0.109
H4 0.944 0.221 0.891
H5 0.361 0.525 0.753
H6 0.500 0.000 0.000
H7 0.639 0.475 0.247
Ir1 0.000 0.000 0.000

Computed properties:
DFT total energy   -44.88 eV for the cell shown
Spin magnetization   0.000 μB/cell